1.
Compound: Pm2InSn9
Source: Alexandria via LeMat-Bulk
Functional: GGA-PBE
Structure: optimized geometry

## Properties
The value obtained for the formation energy is -308 meV per atom.

Unit cell a=4.6636 b=4.6636 c=15.0398 alpha=90.00 beta=90.00 gamma=90.00
Positions (direct):
Pm: 0.0000 0.0000 0.1556
Pm: 0.0000 0.0000 0.8444
In: 0.0000 0.0000 0.5000
Sn: 0.0000 0.5000 0.0000
Sn: 0.0000 0.5000 0.3317
Sn: 0.0000 0.5000 0.6683
Sn: 0.5000 0.0000 0.0000
Sn: 0.5000 0.0000 0.3317
Sn: 0.5000 0.0000 0.6683
Sn: 0.5000 0.5000 0.1693
Sn: 0.5000 0.5000 0.5000
Sn: 0.5000 0.5000 0.8307

=====

2.
Compound: ZnRe2Br
Source: Alexandria via LeMat-Bulk
Functional: GGA-PBE
Structure: optimized geometry

## Properties
As for the uncorrected formation energy: 0.269 eV per atom.

Unit cell a=3.0753 b=3.0406 c=8.0304 alpha=90.00 beta=90.62 gamma=90.00
Positions (direct):
Zn: 0.0000 0.0000 0.0000
Re: 0.0114 0.0000 0.3882
Re: 0.5067 0.5000 0.2082
Br: 0.0211 0.5000 0.6533

=====

3.
Compound: SrPtCl2
Source: Alexandria via LeMat-Bulk
Functional: GGA-PBE
Structure: optimized geometry

## Properties
As for the uncorrected formation energy: -0.617 eV per atom.

Unit cell a=5.0514 b=5.0514 c=5.0514 alpha=60.00 beta=60.00 gamma=60.00
Positions (direct):
Sr: 0.0000 0.0000 0.0000
Pt: 0.2500 0.2500 0.2500
Cl: 0.5000 0.5000 0.5000
Cl: 0.7500 0.7500 0.7500

=====

4.
Compound: TmUPt2
Source: Alexandria via LeMat-Bulk
Functional: GGA-PBE
Structure: optimized geometry

## Properties
The value obtained for the formation energy is -865 meV per atom.

Unit cell a=5.0421 b=5.0421 c=3.2808 alpha=90.00 beta=90.00 gamma=90.00
Positions (direct):
Tm: 0.0000 0.0000 0.0000
U: 0.5000 0.5000 0.0000
Pt: 0.0000 0.5000 0.5000
Pt: 0.5000 0.0000 0.5000

=====

5.
Compound: K3NaAg8
Source: Alexandria via LeMat-Bulk
Functional: GGA-PBE
Structure: optimized geometry

## Properties
The value obtained for the formation energy is -17 meV per atom.

Unit cell a=10.2615 b=10.2615 c=10.2615 alpha=33.14 beta=33.14 gamma=33.14
Positions (direct):
K: 0.0000 0.0000 0.0000
K: 0.1260 0.1260 0.1260
K: 0.6240 0.6240 0.6240
Na: 0.4998 0.4998 0.4998
Ag: 0.0613 0.0613 0.5598
Ag: 0.0613 0.5598 0.0613
Ag: 0.0667 0.5632 0.5632
Ag: 0.3126 0.3126 0.3126
Ag: 0.5598 0.0613 0.0613
Ag: 0.5632 0.0667 0.5632
Ag: 0.5632 0.5632 0.0667
Ag: 0.8129 0.8129 0.8129

=====

6.
Compound: Nd3TmAl8
Source: Alexandria via LeMat-Bulk
Functional: GGA-PBE
Structure: optimized geometry

## Properties
The value obtained for the formation energy is -492 meV per atom.

Unit cell a=9.8030 b=9.8030 c=9.8030 alpha=33.42 beta=33.42 gamma=33.42
Positions (direct):
Nd: 0.0000 0.0000 0.0000
Nd: 0.1253 0.1253 0.1253
Nd: 0.5005 0.5005 0.5005
Tm: 0.6246 0.6246 0.6246
Al: 0.0606 0.5620 0.5620
Al: 0.0635 0.0635 0.5641
Al: 0.0635 0.5641 0.0635
Al: 0.3122 0.3122 0.3122
Al: 0.5620 0.0606 0.5620
Al: 0.5620 0.5620 0.0606
Al: 0.5641 0.0635 0.0635
Al: 0.8130 0.8130 0.8130

=====

Number 1: electronic total energy -4.33 eV/atom. Number 2: electronic total energy -6.69 eV/atom. Number 3: electronic total energy -3.47 eV/atom. Number 4: electronic total energy -7.83 eV/atom. Number 5: electronic total energy -2.30 eV/atom. Number 6: electronic total energy -4.55 eV/atom.